Density functional theory data (meta-GGA SCAN) for K2OsW at its PBEsol-relaxed geometry.

abc: 3.7152 3.7152 5.8379
angles: 90.00 90.00 90.00
Last column: nearest neighbours and their distance in Å.
Atoms (fractional coordinates):
1 K 0.0000 0.5000 0.0000  4 K 2.63
2 K 0.5000 0.0000 0.0000  4 K 2.63
3 Os 0.0000 0.0000 0.5000  4 W 2.63
4 W 0.5000 0.5000 0.5000  4 Os 2.63

Space-group type: No. 123
ΔE to the lowest computed polymorph (eV per atom): 0.0000

Density functional theory data (meta-GGA SCAN) for AlIn2Ag at its PBEsol-relaxed geometry.

abc: 4.9194 4.9194 4.9194
angles: 60.00 60.00 60.00
Last column: nearest neighbours and their distance in Å.
Atoms (fractional coordinates):
1 Al 0.0000 0.0000 0.0000  4 Ag 3.01, 4 In 3.01
2 In 0.2500 0.2500 0.2500  4 In 3.01, 4 Al 3.01
3 In 0.5000 0.5000 0.5000  4 In 3.01, 4 Ag 3.01
4 Ag 0.7500 0.7500 0.7500  4 In 3.01, 4 Al 3.01

Space-group type: No. 216

Density functional theory data (meta-GGA SCAN) for LiHgPb2 at its PBEsol-relaxed geometry.

abc: 5.7797 5.7797 5.7797
angles: 133.89 133.89 67.27
Last column: nearest neighbours and their distance in Å.
Atoms (fractional coordinates):
1 Li 0.0000 0.0000 0.0000  8 Pb 3.20-3.30, 4 Hg 3.30
2 Hg 0.2500 0.7500 0.5000  8 Pb 3.20-3.30, 4 Li 3.30
3 Pb 0.5000 0.5000 0.0000  4 Li 3.20, 4 Hg 3.30, 4 Pb 3.30
4 Pb 0.7500 0.2500 0.5000  4 Hg 3.20, 4 Pb 3.30, 4 Li 3.30

Space-group type: No. 119

Number 1: total moment 0.000 μB/atom, energy of formation 5.4 eV per formula unit, calculated volume 80.6 Å³/cell. Number 2: total moment 0.000 μB/atom, energy of formation 0.9 eV per formula unit, calculated volume 84.2 Å³/cell. Number 3: total moment 0.000 μB/atom, energy of formation -0.7 eV per formula unit, calculated volume 98.6 Å³/cell.